Record 1
Here is a geometry-optimized AlCdTe2I structure from Alexandria via LeMat-Bulk. Energies are from PBE.

Output
Raw formation energy: 0.46 eV per atom
Space-group type: No. 123
Excess energy over the best structure of this formula in the dataset: 1.756 eV per formula unit

a b c (Å): 5.6113 5.5765 5.6113
angles (deg): 90.00 90.00 90.00
Positions (direct):
Al (0.0000, 0.5000, 0.0000)
Te (0.5000, 0.0000, 0.0000)
Te (0.0000, 0.0000, 0.5000)
Cd (0.0000, 0.0000, 0.0000)
I (0.5000, 0.5000, 0.5000)

Record 2
Here is a geometry-optimized AlCdTe2I structure from Alexandria via LeMat-Bulk. Energies are from PBE.

Output
Raw formation energy: 0.11 eV per atom
Space-group type: No. 123
Excess energy over the best structure of this formula in the dataset: 0.000 eV per formula unit

a b c (Å): 5.4472 5.4472 5.4663
angles (deg): 90.00 90.00 90.00
Positions (direct):
Te (0.5000, 0.0000, 0.0000)
Te (0.0000, 0.5000, 0.0000)
Cd (0.5000, 0.5000, 0.5000)
Al (0.0000, 0.0000, 0.0000)
I (0.0000, 0.0000, 0.5000)

Record 3
Here is a geometry-optimized AlCdTe2I structure from Alexandria via LeMat-Bulk. Energies are from PBE.

Output
Raw formation energy: 0.37 eV per atom
Space-group type: No. 123
Excess energy over the best structure of this formula in the dataset: 1.306 eV per formula unit

a b c (Å): 5.5977 5.5977 6.0765
angles (deg): 90.00 90.00 90.00
Positions (direct):
Al (0.5000, 0.5000, 0.5000)
Te (0.0000, 0.5000, 0.0000)
Te (0.5000, 0.0000, 0.0000)
Cd (0.0000, 0.0000, 0.0000)
I (0.0000, 0.0000, 0.5000)